This record from Alexandria describes AlNiAs2O6 after structural relaxation. The functional is GGA+U.

Cell: 7.3393 7.3393 5.1973 Å, 104.04 104.04 67.07°
Last column: nearest neighbours and their distance in Å.
Fractional positions:
Al 0.2287 0.7713 0.7500  4 O 1.77-1.79
Al 0.7713 0.2287 0.2500  4 O 1.77-1.79
Ni 0.1138 0.8862 0.2500  6 O 2.04-2.18
Ni 0.8862 0.1138 0.7500  6 O 2.04-2.18
As 0.1439 0.4013 0.3102  3 O 1.84-1.87
As 0.4013 0.1439 0.8102  3 O 1.84-1.87
As 0.5987 0.8561 0.1898  3 O 1.84-1.87
As 0.8561 0.5987 0.6898  3 O 1.84-1.87
O 0.0030 0.1809 0.1444  1 Al 1.79
O 0.1809 0.0030 0.6444  1 Al 1.79
O 0.2195 0.3621 0.9828  2 As 1.84
O 0.2367 0.6161 0.4315  1 Al 1.77, 1 As 1.87
O 0.3621 0.2195 0.4828  2 As 1.84
O 0.3839 0.7633 0.0685  1 Al 1.77, 1 As 1.87
O 0.6161 0.2367 0.9315  1 Al 1.77, 1 As 1.87
O 0.6379 0.7805 0.5172  2 As 1.84
O 0.7633 0.3839 0.5685  1 Al 1.77, 1 As 1.87
O 0.7805 0.6379 0.0172  2 As 1.84
O 0.8191 0.9970 0.3556  1 Al 1.79
O 0.9970 0.8191 0.8556  1 Al 1.79

## Properties
Total DFT energy (no corrections): -5.96 eV per atom
Magnetization: 0.125 μB/atom
Space-group type: No. 15